The following is a DFT calculation (GGA-PBE) of GeWAu3 after structural relaxation.

a = 4.723 Å, b = 4.723 Å, c = 4.723 Å
α = 90.00°, β = 90.00°, γ = 90.00°
Element x y z (fractional)
Au 0.000 0.500 0.000
Au 0.500 0.000 0.000
Au 0.000 0.000 0.500
W 0.500 0.500 0.500
Ge 0.000 0.000 0.000

Results
The energy relative to the lowest polymorph listed for this composition comes out at 0.110 eV per atom. The value obtained for the formation energy from the elements is 1381 meV/atom.

---

The following is a DFT calculation (GGA-PBE) of AcTb2NdP4 after structural relaxation.

a = 4.171 Å, b = 7.226 Å, c = 7.227 Å
α = 70.60°, β = 90.00°, γ = 90.00°
Element x y z (fractional)
P 0.000 0.232 0.262
P 0.000 0.768 0.738
P 0.500 0.763 0.252
P 0.500 0.237 0.748
Tb 0.000 0.000 0.000
Tb 0.500 0.000 0.500
Nd 0.000 0.500 0.500
Ac 0.500 0.500 0.000

Results
The value obtained for the formation energy from the elements is -1520 meV/atom.

---

The following is a DFT calculation (GGA-PBE) of TbPr3Tm6 after structural relaxation.

a = 3.545 Å, b = 13.234 Å, c = 16.198 Å
α = 121.78°, β = 90.00°, γ = 90.00°
Element x y z (fractional)
Pr 0.750 0.130 0.096
Pr 0.750 0.388 0.892
Pr 0.250 0.612 0.108
Pr 0.750 0.625 0.506
Pr 0.250 0.870 0.904
Pr 0.250 0.375 0.494
Tm 0.750 0.654 0.311
Tm 0.250 0.143 0.899
Tm 0.750 0.381 0.099
Tm 0.250 0.619 0.901
Tm 0.750 0.124 0.486
Tm 0.750 0.600 0.712
Tm 0.250 0.876 0.514
Tm 0.750 0.890 0.721
Tm 0.250 0.110 0.279
Tm 0.250 0.400 0.288
Tm 0.250 0.346 0.689
Tm 0.750 0.857 0.101
Tb 0.250 0.882 0.304
Tb 0.750 0.118 0.696

Results
The energy relative to the lowest polymorph listed for this composition comes out at 0.000 eV per atom. The value obtained for the formation energy from the elements is 71 meV/atom.

---

The following is a DFT calculation (GGA-PBE) of ErIn2Co after structural relaxation.

a = 3.458 Å, b = 3.458 Å, c = 8.846 Å
α = 78.73°, β = 78.73°, γ = 60.00°
Element x y z (fractional)
Er 0.500 0.500 0.500
Co 0.000 0.000 0.000
In 0.266 0.266 0.203
In 0.734 0.734 0.797

Results
The value obtained for the formation energy from the elements is 90 meV/atom.

---

The following is a DFT calculation (GGA-PBE) of RbLiReN3 after structural relaxation.

a = 5.459 Å, b = 5.722 Å, c = 7.036 Å
α = 114.00°, β = 90.00°, γ = 90.00°
Element x y z (fractional)
N 0.000 0.230 0.000
N 0.000 0.770 0.000
N 0.500 0.770 0.000
N 0.250 0.182 0.363
N 0.500 0.230 0.000
N 0.750 0.818 0.637
Li 0.750 0.524 0.049
Li 0.250 0.476 0.951
Rb 0.750 0.262 0.525
Rb 0.250 0.738 0.475
Re 0.750 0.955 0.909
Re 0.250 0.045 0.091

Results
As for the formation energy (no corrections): -237 meV/atom.

---

The following is a DFT calculation (GGA-PBE) of BaFe2Cl after structural relaxation.

a = 3.552 Å, b = 3.540 Å, c = 7.380 Å
α = 90.00°, β = 90.00°, γ = 90.00°
Element x y z (fractional)
Ba 0.000 0.000 0.511
Fe 0.000 0.000 0.101
Fe 0.500 0.500 0.127
Cl 0.500 0.500 0.761

Results
The energy relative to the lowest polymorph listed for this composition comes out at 0.056 eV per atom. As for the formation energy (no corrections): 32 meV/atom.

---

The following is a DFT calculation (GGA-PBE) of PuZr2Ir after structural relaxation.

a = 4.830 Å, b = 4.830 Å, c = 4.830 Å
α = 60.00°, β = 60.00°, γ = 60.00°
Element x y z (fractional)
Ir 0.500 0.500 0.500
Zr 0.250 0.250 0.250
Zr 0.750 0.750 0.750
Pu 0.000 0.000 0.000

Results
The energy relative to the lowest polymorph listed for this composition comes out at 0.159 eV per atom. The value obtained for the formation energy from the elements is -177 meV/atom.

---

The following is a DFT calculation (GGA-PBE) of SrTl2Os after structural relaxation.

a = 7.734 Å, b = 7.734 Å, c = 7.734 Å
α = 155.14°, β = 146.03°, γ = 42.55°
Element x y z (fractional)
Tl 0.329 0.829 0.500
Tl 0.999 0.999 0.000
Sr 0.679 0.179 0.500
Os 0.493 0.493 0.000

Results
The value obtained for the formation energy from the elements is 425 meV/atom.

---

The following is a DFT calculation (GGA-PBE) of LaZrTc2 after structural relaxation.

a = 4.878 Å, b = 4.878 Å, c = 9.686 Å
α = 75.42°, β = 75.42°, γ = 90.00°
Element x y z (fractional)
Tc 0.375 0.625 0.750
Tc 0.375 0.625 0.250
Tc 0.375 0.125 0.250
Tc 0.875 0.625 0.750
La 0.750 0.250 0.500
La 0.000 0.000 0.000
Zr 0.500 0.500 0.000
Zr 0.250 0.750 0.500

Results
The energy relative to the lowest polymorph listed for this composition comes out at 0.606 eV per atom. The value obtained for the formation energy from the elements is 670 meV/atom.

---

The following is a DFT calculation (GGA-PBE) of Dy2YTmO6 after structural relaxation.

a = 5.790 Å, b = 5.790 Å, c = 6.054 Å
α = 61.43°, β = 61.43°, γ = 60.00°
Element x y z (fractional)
O 0.923 0.617 0.251
O 0.208 0.923 0.251
O 0.617 0.208 0.251
O 0.124 0.416 0.755
O 0.705 0.124 0.755
O 0.416 0.705 0.755
Y 0.808 0.808 0.577
Dy 0.024 0.024 0.927
Dy 0.526 0.526 0.423
Tm 0.310 0.310 0.071

Results
As for the formation energy (no corrections): -3551 meV/atom.

---

The following is a DFT calculation (GGA-PBE) of CsRbBa2Se after structural relaxation.

a = 6.504 Å, b = 6.504 Å, c = 7.651 Å
α = 90.00°, β = 90.00°, γ = 90.00°
Element x y z (fractional)
Ba 0.000 0.500 0.000
Ba 0.500 0.000 0.000
Cs 0.000 0.000 0.500
Rb 0.500 0.500 0.500
Se 0.000 0.000 0.000

Results
As for the formation energy (no corrections): -633 meV/atom.

---

The following is a DFT calculation (GGA-PBE) of LaP2Br after structural relaxation.

a = 4.227 Å, b = 4.227 Å, c = 5.568 Å
α = 90.00°, β = 90.00°, γ = 100.10°
Element x y z (fractional)
P 0.000 0.000 0.453
P 0.000 0.000 0.047
La 0.500 0.500 0.750
Br 0.500 0.500 0.250

Results
The energy relative to the lowest polymorph listed for this composition comes out at 0.588 eV per atom. As for the formation energy (no corrections): -387 meV/atom.

---

The following is a DFT calculation (GGA-PBE) of TbPm3Hg12 after structural relaxation.

a = 4.609 Å, b = 4.609 Å, c = 19.166 Å
α = 90.00°, β = 90.00°, γ = 90.00°
Element x y z (fractional)
Hg 0.500 0.500 0.248
Hg 0.500 0.000 0.374
Hg 0.500 0.500 0.000
Hg 0.500 0.500 0.752
Hg 0.500 0.000 0.626
Hg 0.500 0.000 0.877
Hg 0.000 0.500 0.123
Hg 0.500 0.500 0.500
Hg 0.500 0.000 0.123
Hg 0.000 0.500 0.877
Hg 0.000 0.500 0.626
Hg 0.000 0.500 0.374
Tb 0.000 0.000 0.000
Pm 0.000 0.000 0.500
Pm 0.000 0.000 0.752
Pm 0.000 0.000 0.248

Results
The value obtained for the formation energy from the elements is -341 meV/atom.

---

The following is a DFT calculation (GGA-PBE) of Cu2AgHg after structural relaxation.

a = 4.730 Å, b = 4.730 Å, c = 5.053 Å
α = 78.78°, β = 78.78°, γ = 36.04°
Element x y z (fractional)
Cu 0.000 0.000 0.019
Cu 0.500 0.500 0.481
Ag 0.250 0.250 0.250
Hg 0.750 0.750 0.750

Results
The value obtained for the formation energy from the elements is 195 meV/atom.

---

The following is a DFT calculation (GGA-PBE) of Fe4AsSe after structural relaxation.

a = 4.962 Å, b = 4.962 Å, c = 4.962 Å
α = 60.00°, β = 60.00°, γ = 60.00°
Element x y z (fractional)
Fe 0.374 0.374 0.877
Fe 0.374 0.374 0.374
Fe 0.877 0.374 0.374
Fe 0.374 0.877 0.374
Se 0.750 0.750 0.750
As 0.000 0.000 0.000

Results
As for the formation energy (no corrections): 359 meV/atom.

---

The following is a DFT calculation (GGA-PBE) of Ac2BeGa4Pd3 after structural relaxation.

a = 4.422 Å, b = 4.422 Å, c = 10.450 Å
α = 90.00°, β = 90.00°, γ = 90.00°
Element x y z (fractional)
Pd 0.500 0.000 0.868
Pd 0.000 0.500 0.132
Pd 0.000 0.000 0.500
Ga 0.000 0.500 0.382
Ga 0.000 0.000 0.000
Ga 0.500 0.000 0.618
Ga 0.500 0.500 0.000
Ac 0.500 0.000 0.256
Ac 0.000 0.500 0.744
Be 0.500 0.500 0.500

Results
The value obtained for the formation energy from the elements is -649 meV/atom.

---

The following is a DFT calculation (GGA-PBE) of ZrTiV4 after structural relaxation.

a = 5.114 Å, b = 5.114 Å, c = 5.114 Å
α = 60.00°, β = 60.00°, γ = 60.00°
Element x y z (fractional)
Zr 0.250 0.250 0.250
V 0.625 0.625 0.125
V 0.625 0.125 0.625
V 0.125 0.625 0.625
V 0.625 0.625 0.625
Ti 0.000 0.000 0.000

Results
The value obtained for the formation energy from the elements is 69 meV/atom.

---

The following is a DFT calculation (GGA-PBE) of CrSiNiIr after structural relaxation.

a = 4.167 Å, b = 4.167 Å, c = 4.167 Å
α = 60.00°, β = 60.00°, γ = 60.00°
Element x y z (fractional)
Si 0.750 0.750 0.750
Ir 0.000 0.000 0.000
Cr 0.250 0.250 0.250
Ni 0.500 0.500 0.500

Results
As for the formation energy (no corrections): -246 meV/atom.

---

The following is a DFT calculation (GGA-PBE) of Be2SiSnPd after structural relaxation.

a = 4.066 Å, b = 5.676 Å, c = 4.066 Å
α = 90.00°, β = 90.00°, γ = 90.00°
Element x y z (fractional)
Be 0.000 0.000 0.500
Be 0.500 0.000 0.000
Si 0.000 0.000 0.000
Pd 0.500 0.500 0.500
Sn 0.000 0.500 0.000

Results
As for the formation energy (no corrections): 596 meV/atom.

---

The following is a DFT calculation (GGA-PBE) of AcCrRh after structural relaxation.

a = 5.150 Å, b = 3.639 Å, c = 10.076 Å
α = 90.00°, β = 90.00°, γ = 135.04°
Element x y z (fractional)
Rh 0.694 0.388 0.000
Rh 0.195 0.390 0.500
Ac 0.194 0.388 0.179
Ac 0.194 0.388 0.821
Cr 0.695 0.390 0.409
Cr 0.695 0.390 0.591

Results
The value obtained for the formation energy from the elements is 175 meV/atom.

---

The following is a DFT calculation (GGA-PBE) of K3Ce2USe6 after structural relaxation.

a = 7.486 Å, b = 7.486 Å, c = 8.102 Å
α = 98.86°, β = 98.86°, γ = 120.00°
Element x y z (fractional)
U 0.000 0.000 0.000
Ce 0.667 0.333 0.000
Ce 0.333 0.667 0.000
Se 0.604 0.930 0.791
Se 0.396 0.070 0.209
Se 0.257 0.257 0.791
Se 0.743 0.743 0.209
Se 0.930 0.604 0.791
Se 0.070 0.396 0.209
K 0.168 0.832 0.500
K 0.832 0.168 0.500
K 0.500 0.500 0.500

Results
As for the formation energy (no corrections): -1532 meV/atom.

---

The following is a DFT calculation (GGA-PBE) of RbSi after structural relaxation.

a = 7.515 Å, b = 7.515 Å, c = 6.984 Å
α = 90.00°, β = 90.00°, γ = 90.00°
Element x y z (fractional)
Rb 0.820 0.820 0.000
Rb 0.680 0.320 0.500
Rb 0.180 0.180 0.000
Rb 0.320 0.680 0.500
Si 0.899 0.899 0.500
Si 0.399 0.601 0.000
Si 0.601 0.399 0.000
Si 0.101 0.101 0.500

Results
The energy relative to the lowest polymorph listed for this composition comes out at 0.311 eV per atom. As for the formation energy (no corrections): 262 meV/atom.

---

The following is a DFT calculation (GGA-PBE) of Ac8Ir3Rh after structural relaxation.

a = 8.823 Å, b = 8.827 Å, c = 8.438 Å
α = 121.25°, β = 90.00°, γ = 119.98°
Element x y z (fractional)
Ir 0.500 0.500 0.000
Ir 0.000 0.500 0.000
Ir 0.500 0.000 0.000
Ac 0.743 0.486 0.230
Ac 0.756 0.513 0.769
Ac 0.244 0.487 0.231
Ac 0.244 0.985 0.231
Ac 0.258 0.015 0.769
Ac 0.742 0.985 0.231
Ac 0.257 0.514 0.770
Ac 0.756 0.015 0.769
Rh 0.000 0.000 0.000

Results
The value obtained for the formation energy from the elements is -585 meV/atom.

---

The following is a DFT calculation (GGA-PBE) of HoPu2Hf after structural relaxation.

a = 3.319 Å, b = 3.319 Å, c = 11.063 Å
α = 81.37°, β = 81.37°, γ = 60.00°
Element x y z (fractional)
Ho 0.500 0.500 0.500
Pu 0.746 0.746 0.763
Pu 0.254 0.254 0.237
Hf 0.000 0.000 0.000

Results
The energy relative to the lowest polymorph listed for this composition comes out at 0.021 eV per atom. The value obtained for the formation energy from the elements is 188 meV/atom.

---

The following is a DFT calculation (GGA-PBE) of TaIrBr2 after structural relaxation.

a = 3.307 Å, b = 3.307 Å, c = 8.633 Å
α = 90.00°, β = 90.00°, γ = 90.00°
Element x y z (fractional)
Ta 0.500 0.500 0.689
Br 0.500 0.500 0.342
Br 0.000 0.000 0.924
Ir 0.000 0.000 0.545

Results
The energy relative to the lowest polymorph listed for this composition comes out at 0.357 eV per atom. As for the formation energy (no corrections): -77 meV/atom.

---

Final energy for the records above, in order: -4.099, -6.492, -4.508, -4.197, -6.955, -5.142, -10.249, -3.986, -7.882, -8.540, -2.463, -4.742, -1.747, -2.641, -6.638, -4.612, -8.750, -7.668, -3.819, -6.853, -5.478, -2.933, -6.152, -10.611, -6.092 eV per atom